Compound: BeCdSe4
Source: Alexandria
Functional: SCAN
Structure: single point on PBEsol structure

Properties
Total DFT energy (no corrections) = -18.31 eV per atom
D(E_F) = 0.63 states/eV per atom
Magnetic moment = 0.0 μB per formula unit

Cell and atoms, written as CIF:
```
data_BeCdSe4
_chemical_formula_sum 'Be4 Cd4 Se16'
_cell_length_a 7.980
_cell_length_b 7.980
_cell_length_c 7.980
_cell_angle_alpha 90.00
_cell_angle_beta 90.00
_cell_angle_gamma 90.00
_symmetry_space_group_name_H-M 'F -4 3 m'
_symmetry_Int_Tables_number 216
_symmetry_space_group_name_Hall 'F -4 2 3'
loop_
_atom_site_label
_atom_site_type_symbol
_atom_site_fract_x
_atom_site_fract_y
_atom_site_fract_z
Be1 Be 0.000 0.000 0.000
Cd1 Cd 0.250 0.250 0.250
Se1 Se 0.125 0.125 0.625
```